A relaxed structure of Sm5Dy4Sc2, computed with GGA-PBE.

```
data_Sm5Dy4Sc2
_space_group_name_H-M_alt 'I m m m'
_space_group_IT_number 71
_space_group_name_Hall '-I 2 2'
_cell_length_a 3.452
_cell_length_b 11.258
_cell_length_c 18.559
_cell_angle_alpha 90.00
_cell_angle_beta 90.00
_cell_angle_gamma 90.00
loop_
_atom_site_label
_atom_site_type_symbol
_atom_site_fract_x
_atom_site_fract_y
_atom_site_fract_z
_atom_site_occupancy
Sm1 Sm 0.000 0.000 0.000 1
Sm2 Sm 0.000 0.215 0.322 1
Dy1 Dy 0.000 0.228 0.500 1
Dy2 Dy 0.000 0.500 0.090 1
Sc1 Sc 0.000 0.500 0.283 1
```

Values from the calculation:
- E_form (eV per atom) = 0.239
- crystal system = orthorhombic
- N(E_F) (states/eV/atom) = 1.23